No. 1
LiNpH2O6 after structural relaxation, computed with PBE.

a = 5.9183 Å, b = 6.2933 Å, c = 6.2933 Å
α = 93.10°, β = 95.18°, γ = 95.18°
Atoms (fractional coordinates):
O: 0.8917 0.7426 0.5862
O: 0.1083 0.2574 0.4138
O: 0.5231 0.1809 0.6641
O: 0.0231 0.6641 0.1809
O: 0.9769 0.3359 0.8191
O: 0.4769 0.8191 0.3359
O: 0.1309 0.9454 0.7946
O: 0.3917 0.5862 0.7426
O: 0.8691 0.0546 0.2054
O: 0.3691 0.2054 0.0546
O: 0.6083 0.4138 0.2574
O: 0.6309 0.7946 0.9454
Li: 0.7500 0.1034 0.8966
Li: 0.2500 0.8966 0.1034
Np: 0.2500 0.2530 0.7470
Np: 0.7500 0.7470 0.2530
H: 0.7851 0.7326 0.7003
H: 0.2851 0.7003 0.7326
H: 0.2149 0.2674 0.2997
H: 0.7149 0.2997 0.2674

raw total energy	-131.70	eV/cell
magnetization	0.0	Bohr magnetons per cell

---

No. 2
Mg5Al2Zn after structural relaxation, computed with PBE.

a = 3.1146 Å, b = 5.5719 Å, c = 19.5356 Å
α = 90.00°, β = 90.00°, γ = 106.23°
Atoms (fractional coordinates):
Mg: 0.6344 0.2689 0.9723
Mg: 0.6344 0.2689 0.5277
Mg: 0.0823 0.1647 0.1125
Mg: 0.3656 0.7311 0.0277
Mg: 0.9177 0.8353 0.8875
Mg: 0.0823 0.1647 0.3875
Mg: 0.3656 0.7311 0.4723
Mg: 0.5230 0.0460 0.7500
Mg: 0.9177 0.8353 0.6125
Mg: 0.4770 0.9540 0.2500
Al: 0.1889 0.3779 0.6520
Al: 0.8111 0.6221 0.3480
Al: 0.8111 0.6221 0.1520
Al: 0.1889 0.3779 0.8480
Zn: 0.7992 0.5984 0.7500
Zn: 0.2008 0.4016 0.2500

raw total energy	-33.41	eV/cell
ΔE_f	0.0037	eV/atom
magnetization	0.0	Bohr magnetons per cell